CaSbSe4 (PBE-GGA, relaxed); symmetry = F-43m
1.0
0.000 4.148 4.148
4.148 0.000 4.148
4.148 4.148 0.000
Ca Se Sb
1 4 1
Cartesian
6.222 6.222 6.222 Ca
3.115 5.181 5.181 Se
3.115 3.115 3.115 Se
5.181 3.115 5.181 Se
5.181 5.181 3.115 Se
0.000 0.000 0.000 Sb

CaSbSe2 (PBE-GGA, relaxed); symmetry = R3m
1.0
-2.258 2.609 -7.385
0.859 -0.482 -8.091
-3.331 -1.704 -7.242
Se Ca Sb
2 1 1
Cartesian
-0.065 0.006 -0.311 Se
-1.105 0.099 -5.306 Se
-2.482 0.222 -11.923 Ca
-3.443 0.308 -16.537 Sb

Ca2SbSe (PBE-GGA, relaxed); symmetry = P4mm; polymorph energy (0 for the lowest one) = 159 meV/atom
1.0
-0.474 3.977 -0.666
-3.103 0.069 2.617
5.103 1.614 6.006
Ca Sb Se
2 1 1
Cartesian
-0.368 2.472 2.647 Ca
4.318 1.366 5.083 Ca
2.304 0.729 2.712 Sb
2.926 3.514 6.525 Se

CaSbSe2 (PBE-GGA, relaxed); symmetry = F-43m
1.0
5.237 0.000 0.000
2.618 4.535 0.000
2.618 1.512 4.276
Ca Sb Se
1 1 2
Cartesian
5.237 3.024 2.138 Ca
7.855 4.535 3.207 Sb
2.618 1.512 1.069 Se
0.000 0.000 0.000 Se

no.,total DFT energy (no corrections) (eV/atom),uncorrected formation energy (eV per atom)
1,-3.330,0.014
2,-3.862,-0.588
3,-4.122,-1.219
4,-3.490,-0.216